The following is a PBE calculation of crystalline ZnSiNi2 at its relaxed geometry, from Alexandria.

Lattice parameters (Å, degrees): 3.8015 3.8015 12.5332 90.00 90.00 120.00
Space group R3m (No. 160, hexagonal axes)
Symmetry-distinct sites (fractional):
1 Zn 0.0000 0.0000 0.0000 x3
2 Si 0.0000 0.0000 0.1946 x3
3 Ni 0.0000 0.0000 0.5696 x3
4 Ni 0.0000 0.0000 0.7873 x3

Output
formation energy without anion corrections: -0.246 eV/atom